#P
Entry from Alexandria: an optimized crystal structure of PmB3Os2 (PBE).

```
PmB3Os2
1.0
5.215 0.000 2.747
1.557 5.206 3.368
0.008 1.031 6.309
B Os Pm
6 4 2
Direct
0.000 0.668 0.332 B
0.500 0.168 0.832 B
0.500 0.000 0.500 B
0.000 0.332 0.668 B
0.500 0.500 0.000 B
0.500 0.832 0.168 B
0.604 0.586 0.586 Os
0.275 0.914 0.914 Os
0.396 0.414 0.414 Os
0.725 0.086 0.086 Os
0.895 0.750 0.750 Pm
0.105 0.250 0.250 Pm
```

## Properties
Density of states at the Fermi level = 3.83 states/eV per cell
SG = Imma (74)

---

#Q
Entry from Alexandria: an optimized crystal structure of PmB3Os2 (PBE).

```
PmB3Os2
1.0
5.517 0.000 0.000
0.000 5.309 -0.297
0.000 -1.357 5.142
Os B Pm
4 6 2
Direct
0.500 0.190 0.810 Os
0.000 0.190 0.810 Os
0.500 0.810 0.190 Os
0.000 0.810 0.190 Os
0.750 0.117 0.474 B
0.250 0.883 0.526 B
0.750 0.141 0.141 B
0.750 0.474 0.117 B
0.250 0.859 0.859 B
0.250 0.526 0.883 B
0.250 0.343 0.343 Pm
0.750 0.657 0.657 Pm
```

## Properties
Density of states at the Fermi level = 6.19 states/eV per cell
SG = Cmcm (63)

---

Energy relative to the most stable one, in eV/atom: #P 0.230; #Q 0.000

---

#P
Entry from Alexandria: an optimized crystal structure of PmB4Os (PBE).

```
PmB4Os
1.0
3.181 0.000 0.000
1.591 4.605 0.049
1.591 1.393 4.390
B Os Pm
4 1 1
Direct
0.752 0.584 0.913 B
0.248 0.087 0.416 B
0.752 0.913 0.584 B
0.248 0.416 0.087 B
0.500 0.500 0.500 Os
0.000 0.000 0.000 Pm
```

## Properties
Density of states at the Fermi level = 3.42 states/eV per cell
SG = Immm (71)

---

#Q
Entry from Alexandria: an optimized crystal structure of PmB4Os (PBE).

```
PmB4Os
1.0
-2.055 -0.581 2.922
4.773 -2.347 2.891
2.766 10.627 4.061
B Os Pm
16 4 4
Direct
0.500 0.111 0.546 B
0.500 0.611 0.954 B
0.500 0.715 0.685 B
0.500 0.389 0.046 B
0.500 0.215 0.815 B
0.500 0.474 0.189 B
0.500 0.526 0.811 B
0.500 0.139 0.969 B
0.500 0.785 0.185 B
0.500 0.026 0.689 B
0.500 0.889 0.454 B
0.500 0.285 0.315 B
0.500 0.861 0.031 B
0.500 0.361 0.469 B
0.500 0.974 0.311 B
0.500 0.639 0.531 B
0.000 0.861 0.592 Os
0.000 0.639 0.092 Os
0.000 0.361 0.908 Os
0.000 0.139 0.408 Os
0.000 0.627 0.350 Pm
0.000 0.373 0.650 Pm
0.000 0.873 0.850 Pm
0.000 0.127 0.150 Pm
```

## Properties
Density of states at the Fermi level = 4.29 states/eV per cell
SG = Pbam (55)

---

Energy relative to the most stable one, in eV/atom: #P 0.568; #Q 0.000

---

#P
Entry from Alexandria: an optimized crystal structure of PmB3Os3 (PBE).

```
PmB3Os3
1.0
5.895 0.000 0.000
0.000 5.895 0.000
0.000 0.000 5.895
Pm Os B
2 6 6
Direct
0.500 0.500 0.500 Pm
0.000 0.000 0.000 Pm
0.000 0.750 0.500 Os
0.500 0.000 0.250 Os
0.000 0.250 0.500 Os
0.750 0.500 0.000 Os
0.250 0.500 0.000 Os
0.500 0.000 0.750 Os
0.000 0.500 0.250 B
0.500 0.750 0.000 B
0.500 0.250 0.000 B
0.250 0.000 0.500 B
0.750 0.000 0.500 B
0.000 0.500 0.750 B
```

## Properties
Density of states at the Fermi level = 16.61 states/eV per cell
SG = Pm-3n (223)

---

#Q
Entry from Alexandria: an optimized crystal structure of PmB3Os3 (PBE).

```
PmB3Os3
1.0
-3.660 1.058 1.085
-2.203 -6.963 -0.640
3.298 3.885 7.340
Pm Os B
2 6 6
Direct
0.250 0.696 0.351 Pm
0.750 0.304 0.649 Pm
0.750 0.297 0.287 Os
0.250 0.019 0.247 Os
0.750 0.839 0.980 Os
0.750 0.981 0.753 Os
0.250 0.161 0.020 Os
0.250 0.703 0.713 Os
0.750 0.965 0.275 B
0.250 0.035 0.725 B
0.250 0.388 0.442 B
0.250 0.711 0.948 B
0.750 0.289 0.052 B
0.750 0.612 0.558 B
```

## Properties
Density of states at the Fermi level = 3.37 states/eV per cell
SG = P2_1/m (11)

---

Energy relative to the most stable one, in eV/atom: #P 0.111; #Q 0.000

---

#P
Entry from Alexandria: an optimized crystal structure of Pm2B3Os (PBE).

```
Pm2B3Os
1.0
5.588 0.520 0.000
0.302 5.604 0.000
-2.945 -3.062 5.929
B Pm Os
6 4 2
Direct
0.146 0.697 0.844 B
0.303 0.854 0.156 B
0.169 0.169 0.338 B
0.854 0.303 0.156 B
0.831 0.831 0.662 B
0.697 0.146 0.844 B
0.750 0.250 0.500 Pm
0.250 0.750 0.500 Pm
0.770 0.770 0.000 Pm
0.230 0.230 0.000 Pm
0.644 0.644 0.288 Os
0.356 0.356 0.712 Os
```

## Properties
Density of states at the Fermi level = 6.79 states/eV per cell
SG = Fmmm (69)

---

#Q
Entry from Alexandria: an optimized crystal structure of Pm2B3Os (PBE).

```
Pm2B3Os
1.0
3.529 0.000 0.000
-1.765 3.056 0.000
0.000 0.000 17.226
Pm B Os
4 6 2
Direct
0.000 0.000 0.386 Pm
0.000 0.000 0.886 Pm
0.000 0.000 0.614 Pm
0.000 0.000 0.114 Pm
0.333 0.667 0.001 B
0.333 0.667 0.750 B
0.667 0.333 0.999 B
0.667 0.333 0.250 B
0.667 0.333 0.501 B
0.333 0.667 0.499 B
0.333 0.667 0.250 Os
0.667 0.333 0.750 Os
```

## Properties
Density of states at the Fermi level = 3.63 states/eV per cell
SG = P6_3/mmc (194)

---

Energy relative to the most stable one, in eV/atom: #P 0.142; #Q 0.000

---

#P
Entry from Alexandria: an optimized crystal structure of PmB2Os2 (PBE).

```
PmB2Os2
1.0
-0.926 -3.701 -1.295
1.484 0.901 -3.636
4.123 -0.192 3.867
B Pm Os
2 1 2
Direct
0.320 0.320 0.640 B
0.680 0.680 0.360 B
0.000 0.000 0.000 Pm
0.250 0.750 0.500 Os
0.750 0.250 0.500 Os
```

## Properties
Density of states at the Fermi level = 3.25 states/eV per cell
SG = I4/mmm (139)

---

#Q
Entry from Alexandria: an optimized crystal structure of PmB2Os2 (PBE).

```
PmB2Os2
1.0
-4.045 -1.779 3.501
3.040 -4.496 -1.526
3.550 3.882 2.905
B Os Pm
4 4 2
Direct
0.562 0.938 0.750 B
0.438 0.062 0.250 B
0.188 0.312 0.750 B
0.812 0.688 0.250 B
0.762 0.012 0.524 Os
0.512 0.262 0.024 Os
0.488 0.738 0.976 Os
0.238 0.988 0.476 Os
0.125 0.375 0.250 Pm
0.875 0.625 0.750 Pm
```

## Properties
Density of states at the Fermi level = 4.40 states/eV per cell
SG = Fddd (70)

---

Energy relative to the most stable one, in eV/atom: #P 0.084; #Q 0.000

---

#P
Entry from Alexandria: an optimized crystal structure of Pm2B3Os2 (PBE).

```
Pm2B3Os2
1.0
3.830 0.000 -1.135
-0.779 6.259 -2.629
-0.392 -1.397 5.709
B Os Pm
3 2 2
Direct
0.000 0.000 0.000 B
0.780 0.352 0.561 B
0.220 0.648 0.439 B
0.211 0.322 0.422 Os
0.789 0.678 0.578 Os
0.570 0.824 0.140 Pm
0.430 0.176 0.860 Pm
```

## Properties
Density of states at the Fermi level = 3.85 states/eV per cell
SG = C2/m (12)

---

#Q
Entry from Alexandria: an optimized crystal structure of Pm2B3Os2 (PBE).

```
Pm2B3Os2
1.0
4.035 0.000 0.000
0.000 5.656 0.238
-2.018 -1.592 5.188
Os B Pm
2 3 2
Direct
0.840 0.610 0.679 Os
0.160 0.390 0.321 Os
0.324 0.692 0.647 B
0.000 0.500 0.000 B
0.676 0.308 0.353 B
0.404 0.191 0.807 Pm
0.596 0.809 0.193 Pm
```

## Properties
Density of states at the Fermi level = 3.31 states/eV per cell
SG = C2/m (12)

---

Energy relative to the most stable one, in eV/atom: #P 0.000; #Q 0.032

---

#P
Entry from Alexandria: an optimized crystal structure of PrBOs (PBE).

```
PrBOs
1.0
-3.823 1.332 -0.159
-0.956 -2.004 6.208
2.619 7.864 2.942
Os B Pr
4 4 4
Direct
0.750 0.863 0.036 Os
0.750 0.363 0.464 Os
0.250 0.137 0.964 Os
0.250 0.637 0.536 Os
0.250 0.317 0.499 B
0.750 0.683 0.501 B
0.250 0.817 0.001 B
0.750 0.183 0.999 B
0.750 0.524 0.816 Pr
0.750 0.024 0.684 Pr
0.250 0.476 0.184 Pr
0.250 0.976 0.316 Pr
```

## Properties
Density of states at the Fermi level = 7.93 states/eV per cell
SG = Pnma (62)

---

#Q
Entry from Alexandria: an optimized crystal structure of PrBOs (PBE).

```
PrBOs
1.0
5.002 0.460 0.365
2.932 5.844 0.927
2.931 2.229 5.496
Os B Pr
2 2 2
Direct
0.909 0.304 0.969 Os
0.409 0.284 0.989 Os
0.773 0.429 0.642 B
0.271 0.956 0.117 B
0.950 0.778 0.047 Pr
0.453 0.356 0.466 Pr
```

## Properties
Density of states at the Fermi level = 2.37 states/eV per cell
SG = P1 (1)

---

Energy relative to the most stable one, in eV/atom: #P 0.000; #Q 0.474

---

#P
Entry from Alexandria: an optimized crystal structure of B3OsPt (PBE).

```
B3OsPt
1.0
-0.480 3.895 0.915
-3.959 -0.329 -0.675
-0.578 -0.979 3.866
Os Pt B
1 1 3
Direct
0.500 0.500 0.500 Os
0.000 0.000 0.000 Pt
0.000 0.000 0.500 B
0.000 0.500 0.000 B
0.500 0.000 0.000 B
```

## Properties
Density of states at the Fermi level = 6.14 states/eV per cell
SG = Pm-3m (221)

---

#Q
Entry from Alexandria: an optimized crystal structure of B3OsPt (PBE).

```
B3OsPt
1.0
-1.680 1.566 -3.348
-3.649 -0.120 1.775
0.586 3.744 1.457
B Pt Os
3 1 1
Direct
0.500 0.000 0.000 B
0.000 0.500 0.000 B
0.000 0.000 0.500 B
0.500 0.500 0.500 Pt
0.000 0.000 0.000 Os
```

## Properties
Density of states at the Fermi level = 2.18 states/eV per cell
SG = Pm-3m (221)

---

Energy relative to the most stable one, in eV/atom: #P 0.640; #Q 0.000

---

#P
Entry from Alexandria: an optimized crystal structure of BOsPt3 (PBE).

```
BOsPt3
1.0
4.836 0.000 0.000
0.000 4.836 0.000
0.000 0.000 4.836
Os B Pt
1 1 3
Direct
0.000 0.000 0.000 Os
0.500 0.500 0.500 B
0.000 0.000 0.500 Pt
0.000 0.500 0.000 Pt
0.500 0.000 0.000 Pt
```

## Properties
Density of states at the Fermi level = 5.11 states/eV per cell
SG = Pm-3m (221)

---

#Q
Entry from Alexandria: an optimized crystal structure of BOsPt3 (PBE).

```
BOsPt3
1.0
4.173 0.000 0.000
0.000 4.173 0.000
0.000 0.000 4.173
B Os Pt
1 1 3
Direct
0.000 0.000 0.000 B
0.500 0.500 0.500 Os
0.500 0.000 0.000 Pt
0.000 0.000 0.500 Pt
0.000 0.500 0.000 Pt
```

## Properties
Density of states at the Fermi level = 6.06 states/eV per cell
SG = Pm-3m (221)

---

Energy relative to the most stable one, in eV/atom: #P 1.597; #Q 0.000

---

#P
Entry from Alexandria: an optimized crystal structure of PuB2Os (PBE).

```
PuB2Os
1.0
5.363 0.000 0.000
0.000 5.759 0.000
0.000 0.000 6.447
Os Pu B
4 4 8
Direct
0.750 0.313 0.314 Os
0.250 0.187 0.814 Os
0.250 0.687 0.686 Os
0.750 0.813 0.186 Os
0.250 0.002 0.335 Pu
0.250 0.502 0.165 Pu
0.750 0.498 0.835 Pu
0.750 0.998 0.665 Pu
0.584 0.634 0.464 B
0.916 0.634 0.464 B
0.416 0.866 0.964 B
0.916 0.134 0.036 B
0.416 0.366 0.536 B
0.084 0.366 0.536 B
0.084 0.866 0.964 B
0.584 0.134 0.036 B
```

## Properties
Density of states at the Fermi level = 28.07 states/eV per cell
SG = Pnma (62)

---

#Q
Entry from Alexandria: an optimized crystal structure of PuB2Os (PBE).

```
PuB2Os
1.0
3.249 0.000 0.000
1.625 2.814 0.000
1.625 0.938 5.731
Pu B Os
1 2 1
Direct
0.500 0.500 0.500 Pu
0.733 0.733 0.800 B
0.267 0.267 0.200 B
0.000 0.000 0.000 Os
```

## Properties
Density of states at the Fermi level = 6.66 states/eV per cell
SG = R-3m (166)

---

Energy relative to the most stable one, in eV/atom: #P 0.000; #Q 0.486

---

#P
Entry from Alexandria: an optimized crystal structure of Rb2BOs2 (PBE).

```
Rb2BOs2
1.0
-2.903 -2.418 4.360
3.014 -4.870 -0.694
4.166 2.023 3.896
Os B Rb
4 2 4
Direct
0.153 0.347 0.000 Os
0.847 0.653 0.000 Os
0.347 0.847 0.000 Os
0.653 0.153 0.000 Os
0.500 0.500 0.000 B
0.000 0.000 0.000 B
0.817 0.317 0.500 Rb
0.183 0.683 0.500 Rb
0.317 0.183 0.500 Rb
0.683 0.817 0.500 Rb
```

## Properties
Density of states at the Fermi level = 3.86 states/eV per cell
SG = P4/mbm (127)

---

#Q
Entry from Alexandria: an optimized crystal structure of Rb2BOs2 (PBE).

```
Rb2BOs2
1.0
-2.831 -5.943 2.025
2.974 0.687 6.174
-2.490 -1.047 5.157
Os Rb B
2 2 1
Direct
0.688 0.688 0.624 Os
0.312 0.312 0.376 Os
0.750 0.250 0.500 Rb
0.250 0.750 0.500 Rb
0.000 0.000 0.000 B
```

## Properties
Density of states at the Fermi level = 2.85 states/eV per cell
SG = I4/mmm (139)

---

Energy relative to the most stable one, in eV/atom: #P 0.000; #Q 0.767